w:
VASP calculation (GGA+U) on a relaxed structure of FeIr3O.

extended XYZ file:
```
5
Lattice="4.131 0.000 0.000 0.000 4.131 0.000 0.000 0.000 4.131" Properties=species:S:1:pos:R:3 pbc="T T T"
Fe 0.000 0.000 0.000
Ir 0.000 2.066 2.066
Ir 2.066 0.000 2.066
Ir 2.066 2.066 0.000
O 2.066 2.066 2.066
```


x:
VASP calculation (GGA+U) on a relaxed structure of FeIr3O.

extended XYZ file:
```
5
Lattice="4.431 0.000 0.000 0.000 4.431 0.000 0.000 0.000 4.431" Properties=species:S:1:pos:R:3 pbc="T T T"
Fe 0.000 0.000 0.000
Ir 0.000 0.000 2.215
Ir 0.000 2.215 0.000
Ir 2.215 0.000 0.000
O 2.215 2.215 2.215
```


Least stable = x


w:
VASP calculation (GGA+U) on a relaxed structure of FePIrO2.

extended XYZ file:
```
5
Lattice="3.735 0.000 0.000 0.000 3.735 0.000 0.000 0.000 5.450" Properties=species:S:1:pos:R:3 pbc="T T T"
Fe 0.000 0.000 0.000
P 1.867 1.867 0.000
Ir 1.867 1.867 2.725
O 0.000 1.867 2.725
O 1.867 0.000 2.725
```


x:
VASP calculation (GGA+U) on a relaxed structure of FePIrO2.

extended XYZ file:
```
5
Lattice="3.492 0.000 0.000 0.000 3.492 0.000 0.000 0.000 7.612" Properties=species:S:1:pos:R:3 pbc="T T T"
Fe 0.000 0.000 0.000
P 0.000 0.000 3.806
Ir 1.746 1.746 3.806
O 0.000 1.746 0.000
O 1.746 0.000 0.000
```


Least stable = x